Entry from Alexandria: an optimized crystal structure of TbNiP (PBEsol).

abc: 3.8599 3.8599 7.6381
angles: 90.00 90.00 120.00
Fractional positions:
Tb: 0.0000 0.0000 0.0000
Tb: 0.0000 0.0000 0.5000
Ni: 0.3333 0.6667 0.2500
Ni: 0.6667 0.3333 0.7500
P: 0.3333 0.6667 0.7500
P: 0.6667 0.3333 0.2500

ΔH_f (0 K) ... -1279 meV per atom